Entry 1:
The following is a DFT calculation (PBE-GGA) of a geometry-optimized GdHoCo structure.

```
GdHoCo
1.0
-1.684 1.684 6.344
1.684 -1.684 6.344
1.684 1.684 -6.344
Gd Ho Co
1 1 1
direct
0.000 0.000 0.000
0.256 0.256 0.000
0.630 0.630 0.000
```

Entry 2:
The following is a DFT calculation (PBE-GGA) of a geometry-optimized TcAsPd2 structure.

```
TcAsPd2
1.0
-1.867 1.867 9.449
1.867 -1.867 9.449
1.867 1.867 -9.449
Tc As Pd
2 2 4
direct
0.000 0.000 0.000
0.750 0.250 0.500
0.250 0.750 0.500
0.500 0.500 0.000
0.126 0.625 0.001
0.375 0.376 0.501
0.624 0.125 0.999
0.875 0.874 0.499
```

Entry 3:
CdHgSe2, relaxed, DFT PBE-GGA; formation energy without anion corrections = -222 meV per atom
1.0
8.622 0.000 0.000
0.000 4.343 0.000
-3.882 0.000 11.046
Cd Hg Se
4 4 8
direct
0.105 0.232 0.402
0.105 0.268 0.902
0.895 0.732 0.098
0.895 0.768 0.598
0.370 0.747 0.218
0.370 0.753 0.718
0.630 0.247 0.282
0.630 0.253 0.782
0.102 0.224 0.150
0.102 0.276 0.650
0.376 0.649 0.970
0.376 0.851 0.470
0.624 0.149 0.530
0.624 0.351 0.030
0.898 0.724 0.350
0.898 0.776 0.850

What are the electronic total energy values for these records? In order: -8.6965 -6.1006 -2.2687 eV/atom.